{
  "formula": "LiInCo2O4",
  "functional": "PBE+U",
  "state": "relaxed",
  "final_energy_ev_per_atom": -5.66,
  "lattice_angstrom": [[-2.611, -1.032, -3.341], [3.469, -0.338, -2.626], [-0.064, -3.574, 4.014]],
  "species": ["O", "O", "O", "O", "Co", "Co", "In", "Li"],
  "fractional_positions": [[0.184, 0.184, 0.495], [0.689, 0.689, 0.505], [0.938, 0.438, 0.000], [0.438, 0.938, 0.000], [0.686, 0.186, 0.500], [0.186, 0.686, 0.500], [0.939, 0.939, 0.000], [0.436, 0.436, 0.000]]
}